# Pm8Co3HCl4

An optimized crystal structure of Pm8Co3HCl4 (GGA-PBE, Alexandria).

Calculated values
**Space group**: R-3m, No. 166
**E_tot**: -83.6 eV per cell

Geometry as extended XYZ:
```
16
Lattice="-7.6383 0.9186 1.3242 1.1365 -2.4605 8.2624 4.2851 6.0364 -2.4801" Properties=species:S:1:pos:R:3 pbc="T T T"
Pm 3.1458 4.3233 3.6991
Pm 1.0148 1.3248 4.9344
Pm 0.5895 2.7265 1.5090
Pm -0.6543 4.7803 4.3579
Pm -1.5624 -0.2859 2.7487
Pm -2.8062 1.7679 5.5976
Pm -3.2315 3.1696 2.1721
Pm -5.3625 0.1711 3.4075
Co -3.2509 -0.7710 4.7933
Co -1.1083 2.2472 3.5533
Co 2.7108 1.7879 2.8912
H 0.5683 -1.2303 4.1312
Cl -3.8192 0.4593 0.6621
Cl -1.6766 3.4775 -0.5779
Cl 0.0000 0.0000 0.0000
Cl 2.1426 3.0182 -1.2400
```